Computed, not measured: crystalline TbPm2Nd4Dy at its relaxed geometry at the PBE level of DFT.

Output
Space-group type: P2/m (10)
Energy relative to the elements, eV/atom: 0.01

Cell: 5.149 5.168 10.257 Å, 90.00 90.11 90.00°
Fractional positions:
Tb: 0.000 0.000 0.000
Pm: 0.000 0.000 0.500
Pm: 0.500 0.500 0.000
Nd: 0.000 0.500 0.251
Nd: 0.000 0.500 0.749
Nd: 0.500 0.000 0.250
Nd: 0.500 0.000 0.750
Dy: 0.500 0.500 0.500